a | ## Ba2P2Br (GGA-PBE)

Data for crystalline Ba2P2Br at its relaxed geometry.

Values from the calculation:
SG = Imma, No. 74

Cell: 10.0739 10.0739 10.0739 Å, 128.16 58.46 154.85°
With the nearest neighbours (Å) after each atom.
Element x y z (fractional)
1 Ba 0.3545 0.0000 0.8545  6 P 3.24-3.46, 2 Br 3.41
2 Ba 0.3545 0.5000 0.3545  6 P 3.24-3.46, 2 Br 3.41
3 Ba 0.6455 0.0000 0.1455  6 P 3.24-3.46, 2 Br 3.41
4 Ba 0.6455 0.5000 0.6455  6 P 3.24-3.46, 2 Br 3.41
5 P 0.1781 0.7123 0.4659  1 P 2.22
6 P 0.2536 0.2877 0.9659  1 P 2.22
7 P 0.7464 0.7123 0.0341  1 P 2.22
8 P 0.8219 0.2877 0.5341  1 P 2.22
9 Br 0.3879 0.1379 0.2500  4 Ba 3.41
10 Br 0.6121 0.8621 0.7500  4 Ba 3.41

b | ## Ba2P2Br (GGA-PBE)

Data for crystalline Ba2P2Br at its relaxed geometry.

Values from the calculation:
SG = I4/mmm, No. 139

Cell: 5.9648 5.9648 9.4557 Å, 90.00 90.00 90.00°
With the nearest neighbours (Å) after each atom.
Element x y z (fractional)
1 Ba 0.0000 0.5000 0.2500  4 P 3.25
2 Ba 0.0000 0.5000 0.7500  4 P 3.25
3 Ba 0.5000 0.0000 0.2500  4 P 3.25
4 Ba 0.5000 0.0000 0.7500  4 P 3.25
5 P 0.0000 0.0000 0.1129  1 P 2.14
6 P 0.0000 0.0000 0.8871  1 P 2.14
7 P 0.5000 0.5000 0.3871  1 P 2.14
8 P 0.5000 0.5000 0.6129  1 P 2.14
9 Br 0.0000 0.0000 0.5000  2 P 3.66, 8 Ba 3.81
10 Br 0.5000 0.5000 0.0000  2 P 3.66, 8 Ba 3.81

c | ## Ba2P2Br (GGA-PBE)

Data for crystalline Ba2P2Br at its relaxed geometry.

Values from the calculation:
SG = C2/m, No. 12

Cell: 8.3396 5.3082 8.4600 Å, 90.00 100.45 90.00°
With the nearest neighbours (Å) after each atom.
Element x y z (fractional)
1 Ba 0.1895 0.0000 0.2664  4 P 3.15-3.17
2 Ba 0.3105 0.5000 0.7336  4 P 3.15-3.17
3 Ba 0.6895 0.5000 0.2664  4 P 3.15-3.17
4 Ba 0.8105 0.0000 0.7336  4 P 3.15-3.17
5 P 0.0000 0.2979 0.5000  1 P 2.15
6 P 0.0000 0.7021 0.5000  1 P 2.15
7 P 0.5000 0.2021 0.5000  1 P 2.15
8 P 0.5000 0.7979 0.5000  1 P 2.15
9 Br 0.0000 0.5000 0.0000  6 Ba 3.65-3.73
10 Br 0.5000 0.0000 0.0000  6 Ba 3.65-3.73

Most stable: a. Least stable: b.

a | ## BaPBr3 (GGA-PBE)

Data for crystalline BaPBr3 at its relaxed geometry.

Values from the calculation:
SG = Pm-3m, No. 221

Cell: 5.3945 5.3945 5.3945 Å, 90.00 90.00 90.00°
With the nearest neighbours (Å) after each atom.
Element x y z (fractional)
1 Ba 0.0000 0.0000 0.0000  12 Br 3.81
2 P 0.5000 0.5000 0.5000  6 Br 2.70
3 Br 0.0000 0.5000 0.5000  2 P 2.70
4 Br 0.5000 0.0000 0.5000  2 P 2.70
5 Br 0.5000 0.5000 0.0000  2 P 2.70

b | ## BaPBr3 (GGA-PBE)

Data for crystalline BaPBr3 at its relaxed geometry.

Values from the calculation:
SG = Pm-3m, No. 221

Cell: 6.3744 6.3744 6.3744 Å, 90.00 90.00 90.00°
With the nearest neighbours (Å) after each atom.
Element x y z (fractional)
1 Ba 0.0000 0.0000 0.0000  6 Br 3.19
2 P 0.5000 0.5000 0.5000  12 Br 4.51
3 Br 0.0000 0.0000 0.5000  2 Ba 3.19
4 Br 0.0000 0.5000 0.0000  2 Ba 3.19
5 Br 0.5000 0.0000 0.0000  2 Ba 3.19

Most stable: a. Least stable: b.

a | ## BaPS2Br (GGA-PBE)

Data for crystalline BaPS2Br at its relaxed geometry.

Values from the calculation:
SG = P4/mmm, No. 123

Cell: 5.1603 5.1603 4.8977 Å, 90.00 90.00 90.00°
With the nearest neighbours (Å) after each atom.
Element x y z (fractional)
1 Ba 0.0000 0.0000 0.0000  8 S 3.56, 4 P 3.65
2 P 0.5000 0.5000 0.0000  2 Br 2.45
3 S 0.0000 0.5000 0.5000  2 Br 2.58
4 S 0.5000 0.0000 0.5000  2 Br 2.58
5 Br 0.5000 0.5000 0.5000  2 P 2.45, 4 S 2.58

b | ## BaPS2Br (GGA-PBE)

Data for crystalline BaPS2Br at its relaxed geometry.

Values from the calculation:
SG = P4/mmm, No. 123

Cell: 6.1612 6.1612 6.6838 Å, 90.00 90.00 90.00°
With the nearest neighbours (Å) after each atom.
Element x y z (fractional)
1 Ba 0.0000 0.0000 0.0000  4 S 3.08, 2 P 3.34
2 P 0.0000 0.0000 0.5000  2 Ba 3.34
3 S 0.0000 0.5000 0.0000  2 Ba 3.08
4 S 0.5000 0.0000 0.0000  2 Ba 3.08
5 Br 0.5000 0.5000 0.5000  4 P 4.36, 8 S 4.55

Most stable: a. Least stable: b.

a | ## BaPSe2Br (GGA-PBE)

Data for crystalline BaPSe2Br at its relaxed geometry.

Values from the calculation:
SG = P4/mmm, No. 123

Cell: 5.0975 5.0975 5.2035 Å, 90.00 90.00 90.00°
With the nearest neighbours (Å) after each atom.
Element x y z (fractional)
1 Ba 0.0000 0.0000 0.0000  4 Br 3.60, 8 Se 3.64
2 P 0.5000 0.5000 0.5000  4 Se 2.55, 2 Br 2.60
3 Se 0.0000 0.5000 0.5000  2 P 2.55
4 Se 0.5000 0.0000 0.5000  2 P 2.55
5 Br 0.5000 0.5000 0.0000  2 P 2.60

b | ## BaPSe2Br (GGA-PBE)

Data for crystalline BaPSe2Br at its relaxed geometry.

Values from the calculation:
SG = P4/mmm, No. 123

Cell: 6.2080 6.2080 5.9848 Å, 90.00 90.00 90.00°
With the nearest neighbours (Å) after each atom.
Element x y z (fractional)
1 Ba 0.0000 0.0000 0.0000  2 Br 2.99, 4 Se 3.10
2 P 0.5000 0.5000 0.5000  8 Se 4.31, 4 Br 4.39
3 Se 0.0000 0.5000 0.0000  2 Ba 3.10
4 Se 0.5000 0.0000 0.0000  2 Ba 3.10
5 Br 0.0000 0.0000 0.5000  2 Ba 2.99

Most stable: a. Least stable: b.

a | ## BaPb2Br (GGA-PBE)

Data for crystalline BaPb2Br at its relaxed geometry.

Values from the calculation:
SG = P4/mmm, No. 123

Cell: 5.3861 5.3861 6.1328 Å, 90.00 90.00 90.00°
With the nearest neighbours (Å) after each atom.
Element x y z (fractional)
1 Ba 0.0000 0.0000 0.0000  2 Br 3.07
2 Pb 0.5000 0.5000 0.2287  1 Pb 2.81
3 Pb 0.5000 0.5000 0.7713  1 Pb 2.81
4 Br 0.0000 0.0000 0.5000  2 Ba 3.07

b | ## BaPb2Br (GGA-PBE)

Data for crystalline BaPb2Br at its relaxed geometry.

Values from the calculation:
SG = P4mm, No. 99

Cell: 4.0067 4.0067 9.4751 Å, 90.00 90.00 90.00°
With the nearest neighbours (Å) after each atom.
Element x y z (fractional)
1 Ba 0.0000 0.0000 0.0000  4 Br 3.32
2 Pb 0.0000 0.0000 0.5472  4 Pb 3.33
3 Pb 0.5000 0.5000 0.7315  4 Pb 3.33
4 Br 0.5000 0.5000 0.1831  4 Ba 3.32

Most stable: b. Least stable: a.

a | ## BaPb2Br (GGA-PBE)

Data for crystalline BaPb2Br at its relaxed geometry.

Values from the calculation:
SG = Fm-3m, No. 225

Cell: 8.2863 8.2863 8.2863 Å, 90.00 90.00 90.00°
With the nearest neighbours (Å) after each atom.
Element x y z (fractional)
1 Ba 0.0000 0.0000 0.0000  8 Pb 3.59
2 Ba 0.0000 0.5000 0.5000  8 Pb 3.59
3 Ba 0.5000 0.0000 0.5000  8 Pb 3.59
4 Ba 0.5000 0.5000 0.0000  8 Pb 3.59
5 Pb 0.2500 0.2500 0.2500  4 Br 3.59, 4 Ba 3.59
6 Pb 0.2500 0.2500 0.7500  4 Ba 3.59, 4 Br 3.59
7 Pb 0.2500 0.7500 0.2500  4 Ba 3.59, 4 Br 3.59
8 Pb 0.2500 0.7500 0.7500  4 Br 3.59, 4 Ba 3.59
9 Pb 0.7500 0.2500 0.2500  4 Ba 3.59, 4 Br 3.59
10 Pb 0.7500 0.2500 0.7500  4 Br 3.59, 4 Ba 3.59
11 Pb 0.7500 0.7500 0.2500  4 Br 3.59, 4 Ba 3.59
12 Pb 0.7500 0.7500 0.7500  4 Ba 3.59, 4 Br 3.59
13 Br 0.0000 0.0000 0.5000  8 Pb 3.59
14 Br 0.0000 0.5000 0.0000  8 Pb 3.59
15 Br 0.5000 0.0000 0.0000  8 Pb 3.59
16 Br 0.5000 0.5000 0.5000  8 Pb 3.59

b | ## BaPb2Br (GGA-PBE)

Data for crystalline BaPb2Br at its relaxed geometry.

Values from the calculation:
SG = Cmmm, No. 65

Cell: 6.5032 11.6027 3.7617 Å, 90.00 90.00 90.00°
With the nearest neighbours (Å) after each atom.
Element x y z (fractional)
1 Ba 0.0000 0.0000 0.0000  2 Br 3.25
2 Ba 0.5000 0.5000 0.0000  2 Br 3.25
3 Pb 0.2500 0.2500 0.5000  2 Pb 3.25
4 Pb 0.2500 0.7500 0.5000  2 Pb 3.25
5 Pb 0.7500 0.2500 0.5000  2 Pb 3.25
6 Pb 0.7500 0.7500 0.5000  2 Pb 3.25
7 Br 0.0000 0.5000 0.0000  2 Ba 3.25
8 Br 0.5000 0.0000 0.0000  2 Ba 3.25

Most stable: b. Least stable: a.

a | ## Ba2PbBr6 (GGA-PBE)

Data for crystalline Ba2PbBr6 at its relaxed geometry.

Values from the calculation:
SG = P2_1/c, No. 14

Cell: 7.7588 8.2003 12.8803 Å, 90.00 118.81 90.00°
With the nearest neighbours (Å) after each atom.
Element x y z (fractional)
1 Ba 0.1797 0.0995 0.2285  7 Br 3.26-3.58
2 Ba 0.1797 0.4005 0.7285  7 Br 3.26-3.58
3 Ba 0.8203 0.5995 0.2715  7 Br 3.26-3.58
4 Ba 0.8203 0.9005 0.7715  7 Br 3.26-3.58
5 Pb 0.5000 0.0000 0.0000  6 Br 3.01-3.08
6 Pb 0.5000 0.5000 0.5000  6 Br 3.01-3.08
7 Br 0.1252 0.1871 0.9421  1 Pb 3.05, 1 Ba 3.31
8 Br 0.1252 0.3129 0.4421  1 Pb 3.05, 1 Ba 3.31
9 Br 0.2349 0.6956 0.9148  1 Pb 3.08, 2 Ba 3.29-3.30
10 Br 0.2349 0.8044 0.4148  1 Pb 3.08, 2 Ba 3.29-3.30
11 Br 0.4195 0.0645 0.7505  1 Pb 3.01, 2 Ba 3.26-3.28
12 Br 0.4195 0.4355 0.2505  1 Pb 3.01, 2 Ba 3.26-3.28
13 Br 0.5805 0.5645 0.7495  1 Pb 3.01, 2 Ba 3.26-3.28
14 Br 0.5805 0.9355 0.2495  1 Pb 3.01, 2 Ba 3.26-3.28
15 Br 0.7651 0.1956 0.5852  1 Pb 3.08, 2 Ba 3.29-3.30
16 Br 0.7651 0.3044 0.0852  1 Pb 3.08, 2 Ba 3.29-3.30
17 Br 0.8748 0.6871 0.5579  1 Pb 3.05, 1 Ba 3.31
18 Br 0.8748 0.8129 0.0579  1 Pb 3.05, 1 Ba 3.31

b | ## Ba2PbBr6 (GGA-PBE)

Data for crystalline Ba2PbBr6 at its relaxed geometry.

Values from the calculation:
SG = P4_2/mnm, No. 136

Cell: 7.3976 7.3976 14.6935 Å, 90.00 90.00 90.00°
With the nearest neighbours (Å) after each atom.
Element x y z (fractional)
1 Ba 0.0000 0.0000 0.1667  6 Br 3.24-3.26
2 Ba 0.0000 0.0000 0.8333  6 Br 3.24-3.26
3 Ba 0.5000 0.5000 0.3333  6 Br 3.24-3.26
4 Ba 0.5000 0.5000 0.6667  6 Br 3.24-3.26
5 Pb 0.0000 0.0000 0.5000  6 Br 3.06-3.08
6 Pb 0.5000 0.5000 0.0000  6 Br 3.06-3.08
7 Br 0.1903 0.1903 0.3415  1 Pb 3.06, 2 Ba 3.24-3.25
8 Br 0.1903 0.1903 0.6585  1 Pb 3.06, 2 Ba 3.24-3.25
9 Br 0.2053 0.2053 0.0000  1 Pb 3.08, 2 Ba 3.26
10 Br 0.2947 0.7053 0.5000  1 Pb 3.08, 2 Ba 3.26
11 Br 0.3097 0.6903 0.1585  1 Pb 3.06, 2 Ba 3.24-3.25
12 Br 0.3097 0.6903 0.8415  1 Pb 3.06, 2 Ba 3.24-3.25
13 Br 0.6903 0.3097 0.1585  1 Pb 3.06, 2 Ba 3.24-3.25
14 Br 0.6903 0.3097 0.8415  1 Pb 3.06, 2 Ba 3.24-3.25
15 Br 0.7053 0.2947 0.5000  1 Pb 3.08, 2 Ba 3.26
16 Br 0.7947 0.7947 0.0000  1 Pb 3.08, 2 Ba 3.26
17 Br 0.8097 0.8097 0.3415  1 Pb 3.06, 2 Ba 3.24-3.25
18 Br 0.8097 0.8097 0.6585  1 Pb 3.06, 2 Ba 3.24-3.25

Most stable: a. Least stable: b.

a | ## BaTePbBr2 (GGA-PBE)

Data for crystalline BaTePbBr2 at its relaxed geometry.

Values from the calculation:
SG = P4/mmm, No. 123

Cell: 5.8367 5.8367 10.1633 Å, 90.00 90.00 90.00°
With the nearest neighbours (Å) after each atom.
Element x y z (fractional)
1 Ba 0.0000 0.0000 0.0000  4 Br 2.92
2 Te 0.5000 0.5000 0.5000  4 Pb 4.13
3 Pb 0.0000 0.0000 0.5000  4 Te 4.13
4 Br 0.0000 0.5000 0.0000  2 Ba 2.92
5 Br 0.5000 0.0000 0.0000  2 Ba 2.92

b | ## BaTePbBr2 (GGA-PBE)

Data for crystalline BaTePbBr2 at its relaxed geometry.

Values from the calculation:
SG = Cmcm, No. 63

Cell: 6.9363 6.9363 12.1248 Å, 90.00 90.00 140.56°
With the nearest neighbours (Å) after each atom.
Element x y z (fractional)
1 Ba 0.2389 0.7611 0.7500  2 Te 3.46, 4 Br 3.46
2 Ba 0.7611 0.2389 0.2500  2 Te 3.46, 4 Br 3.46
3 Te 0.0661 0.9339 0.2500  2 Pb 3.15, 2 Ba 3.46
4 Te 0.9339 0.0661 0.7500  2 Pb 3.15, 2 Ba 3.46
5 Pb 0.0000 0.0000 0.0000  2 Te 3.15, 4 Br 3.16
6 Pb 0.0000 0.0000 0.5000  2 Te 3.15, 4 Br 3.16
7 Br 0.3477 0.6523 0.0617  2 Pb 3.16, 2 Ba 3.46
8 Br 0.3477 0.6523 0.4383  2 Pb 3.16, 2 Ba 3.46
9 Br 0.6523 0.3477 0.5617  2 Pb 3.16, 2 Ba 3.46
10 Br 0.6523 0.3477 0.9383  2 Pb 3.16, 2 Ba 3.46

Most stable: b. Least stable: a.